(1)
First-principles (PBE) data for crystalline CrW at its relaxed geometry, as listed in the Alexandria database.

Unit cell a=3.9162 b=3.9162 c=4.7048 alpha=90.00 beta=90.00 gamma=120.00
Space group P6_3/mmc (No. 194)
Symmetry-distinct sites (fractional):
Cr (0.0000, 0.0000, 0.0000) [2 per cell]
W (0.3333, 0.6667, 0.2500) [2 per cell]

Results
The formation energy from the elements comes out at 0.8734 eV/atom. Its uncorrected energy is -0.76548 Ry/atom.



(2)
First-principles (PBE) data for crystalline TlGeCl3 at its relaxed geometry, as listed in the Alexandria database.

Unit cell a=8.500 b=7.211 c=11.447 alpha=90.00 beta=113.57 gamma=90.00
Space group P2_1/c (No. 14)
Symmetry-distinct sites (fractional):
Tl (0.196, 0.222, 0.180) [4 per cell]
Ge (0.385, 0.726, 0.978) [4 per cell]
Cl (0.161, 0.509, 0.929) [4 per cell]
Cl (0.206, 0.509, 0.427) [4 per cell]
Cl (0.399, 0.702, 0.776) [4 per cell]

Results
The calculation puts the formation energy from raw total energies at -901.7 meV per atom. Its uncorrected energy is -0.25036 Ry/atom.